The following is a DFT calculation (PBEsol) of an optimized crystal structure of Na2MgSb2.

Results
Energy relative to the elements, uncorrected   -123 meV per atom
Magnetization   0.00 μB/f.u.
SG   P4/mbm, No. 127
Density   4.04 Mg/m³

Lattice parameters (Å, degrees): 3.1829 9.0076 9.0076 90.00 90.00 90.00
Element x y z (fractional)
Sb: 0.5000 0.1856 0.6856
Sb: 0.5000 0.6856 0.8144
Sb: 0.5000 0.8144 0.3144
Sb: 0.5000 0.3144 0.1856
Mg: 0.0000 0.0000 0.0000
Mg: 0.0000 0.5000 0.5000
Na: 0.0000 0.3860 0.8860
Na: 0.0000 0.8860 0.6140
Na: 0.0000 0.6140 0.1140
Na: 0.0000 0.1140 0.3860